Material: Sc12CdCo5
Method: DFT, PBE
State: optimized geometry

Calculated values
The value obtained for the energy of formation from the pure elements is -6.50 kcal/mol of atoms. As for the symmetry: Immm, No. 71.

Unit cell a=7.688 b=7.688 c=7.688 alpha=105.63 beta=110.92 gamma=111.93
Fractional coordinates of all 18 atoms:
Sc 0.906 0.182 0.724
Sc 0.542 0.818 0.724
Sc 0.694 0.681 0.375
Sc 0.193 0.417 0.225
Sc 0.458 0.182 0.276
Sc 0.094 0.818 0.276
Sc 0.807 0.583 0.775
Sc 0.807 0.032 0.225
Sc 0.193 0.968 0.775
Sc 0.694 0.319 0.013
Sc 0.306 0.681 0.987
Sc 0.306 0.319 0.625
Cd 0.000 0.500 0.500
Co 0.648 0.648 0.000
Co 0.500 0.881 0.381
Co 0.352 0.352 0.000
Co 0.000 0.000 0.000
Co 0.500 0.119 0.619



Material: Ac3CuB2Pt9
Method: DFT, PBE
State: optimized geometry

Calculated values
The value obtained for the energy of formation from the pure elements is -15.55 kcal/mol of atoms. As for the symmetry: P-3m1, No. 164.

Unit cell a=6.800 b=6.800 c=7.182 alpha=90.00 beta=90.00 gamma=120.00
Fractional coordinates of all 15 atoms:
Pt 0.634 0.817 0.314
Pt 0.183 0.817 0.314
Pt 0.183 0.366 0.314
Pt 0.500 0.500 0.000
Pt 0.817 0.634 0.686
Pt 0.500 0.000 0.000
Pt 0.366 0.183 0.686
Pt 0.000 0.500 0.000
Pt 0.817 0.183 0.686
Ac 0.000 0.000 0.000
Ac 0.333 0.667 0.664
Ac 0.667 0.333 0.336
B 0.667 0.333 0.856
B 0.333 0.667 0.144
Cu 0.000 0.000 0.500



Material: CaCr2Ru
Method: DFT, PBE
State: optimized geometry

Calculated values
The value obtained for the energy of formation from the pure elements is 13.99 kcal/mol of atoms. The calculation puts the excess energy over the best structure of this formula in the dataset at 233 meV/atom. As for the symmetry: Cmm2, No. 35.

Unit cell a=2.785 b=2.785 c=8.634 alpha=90.00 beta=90.00 gamma=111.89
Fractional coordinates of all 4 atoms:
Cr 0.500 0.500 0.238
Cr 0.000 0.000 0.051
Ca 0.500 0.500 0.745
Ru 0.000 0.000 0.465



Material: BiPd2F
Method: DFT, PBE
State: optimized geometry

Calculated values
The calculation puts the excess energy over the best structure of this formula in the dataset at 31 meV/atom. As for the symmetry: I-42d, No. 122.

Unit cell a=7.167 b=7.167 c=5.753 alpha=51.47 beta=51.47 gamma=90.00
Fractional coordinates of all 8 atoms:
Pd 0.875 0.843 0.750
Pd 0.593 0.125 0.250
Pd 0.157 0.625 0.250
Pd 0.375 0.407 0.750
F 0.250 0.750 0.500
F 0.500 0.500 0.000
Bi 0.000 0.000 0.000
Bi 0.750 0.250 0.500



Material: Rb3TlBi2
Method: DFT, PBE
State: optimized geometry

Calculated values
The value obtained for the energy of formation from the pure elements is -4.47 kcal/mol of atoms. The calculation puts the excess energy over the best structure of this formula in the dataset at 84 meV/atom. As for the symmetry: C2/m, No. 12.

Unit cell a=5.592 b=10.566 c=13.405 alpha=51.08 beta=77.96 gamma=74.65
Fractional coordinates of all 12 atoms:
Rb 0.946 0.925 0.184
Rb 0.319 0.298 0.065
Rb 0.191 0.182 0.435
Rb 0.681 0.702 0.935
Rb 0.809 0.818 0.565
Rb 0.054 0.075 0.816
Bi 0.595 0.215 0.596
Bi 0.122 0.599 0.156
Bi 0.878 0.401 0.844
Bi 0.405 0.785 0.404
Tl 0.564 0.554 0.317
Tl 0.436 0.446 0.683



Material: LiCa2W
Method: DFT, PBE
State: optimized geometry

Calculated values
The value obtained for the energy of formation from the pure elements is 18.27 kcal/mol of atoms. The calculation puts the excess energy over the best structure of this formula in the dataset at 138 meV/atom. As for the symmetry: Cmmm, No. 65.

Unit cell a=7.649 b=5.703 c=3.031 alpha=89.99 beta=66.67 gamma=124.42
Site moments in Bohr magnetons follow the coordinates.
Fractional coordinates of all 4 atoms:
W 0.500 0.500 0.000  0.19
Li 0.000 0.500 0.500  0.00
Ca 0.000 0.000 0.000  0.00
Ca 0.500 0.000 0.500  0.00



Material: TaBiPS2
Method: DFT, PBE
State: optimized geometry

Calculated values
The calculation puts the excess energy over the best structure of this formula in the dataset at 1530 meV/atom. As for the symmetry: P4/mmm, No. 123.

Unit cell a=5.048 b=5.048 c=5.141 alpha=90.00 beta=90.00 gamma=90.00
Site moments in Bohr magnetons follow the coordinates.
Fractional coordinates of all 5 atoms:
Ta 0.500 0.500 0.500  1.82
P 0.000 0.000 0.500  -0.24
S 0.500 0.000 0.000  -0.15
S 0.000 0.500 0.000  -0.15
Bi 0.000 0.000 0.000  0.00



Material: CuTe2PdN
Method: DFT, PBE
State: optimized geometry

Calculated values
The calculation puts the excess energy over the best structure of this formula in the dataset at 112 meV/atom. As for the symmetry: P4/mmm, No. 123.

Unit cell a=5.527 b=5.527 c=3.654 alpha=90.00 beta=90.00 gamma=90.00
Fractional coordinates of all 5 atoms:
Te 0.000 0.500 0.000
Te 0.500 0.000 0.000
Pd 0.000 0.000 0.000
N 0.000 0.000 0.500
Cu 0.500 0.500 0.500



Material: KTa2Ru
Method: DFT, PBE
State: optimized geometry

Calculated values
The value obtained for the energy of formation from the pure elements is 31.05 kcal/mol of atoms. The calculation puts the excess energy over the best structure of this formula in the dataset at 859 meV/atom. As for the symmetry: F-43m, No. 216.

Unit cell a=4.767 b=4.767 c=4.767 alpha=60.00 beta=60.00 gamma=60.00
Fractional coordinates of all 4 atoms:
K 0.500 0.500 0.500
Ru 0.750 0.750 0.750
Ta 0.000 0.000 0.000
Ta 0.250 0.250 0.250



Material: Dy3YEr2As6
Method: DFT, PBE
State: optimized geometry

Calculated values
The value obtained for the energy of formation from the pure elements is -35.38 kcal/mol of atoms. As for the symmetry: C2/m, No. 12.

Unit cell a=7.114 b=7.114 c=7.112 alpha=99.58 beta=99.58 gamma=119.99
Fractional coordinates of all 12 atoms:
Y 0.000 0.000 0.000
Dy 0.834 0.166 0.500
Dy 0.500 0.500 0.500
Dy 0.166 0.834 0.500
As 0.582 0.917 0.751
As 0.252 0.252 0.752
As 0.083 0.418 0.249
As 0.917 0.582 0.751
As 0.418 0.083 0.249
As 0.748 0.748 0.248
Er 0.333 0.667 0.000
Er 0.667 0.333 0.000



Material: NbSnO2
Method: DFT, PBE
State: optimized geometry

Calculated values
As for the symmetry: I-42d, No. 122. The calculation puts the energy at -58.5 eV for the cell shown.

Unit cell a=6.224 b=6.224 c=6.232 alpha=60.04 beta=60.04 gamma=90.00
Fractional coordinates of all 8 atoms:
O 0.376 0.125 0.250
O 0.374 0.625 0.250
O 0.375 0.624 0.750
O 0.875 0.626 0.750
Nb 0.500 0.500 0.000
Nb 0.250 0.750 0.500
Sn 0.000 0.000 0.000
Sn 0.750 0.250 0.500



Material: Ba2TiHO3
Method: DFT, PBE
State: optimized geometry

Calculated values
As for the symmetry: Immm, No. 71. The calculation puts the energy at -46.0 eV for the cell shown.

Unit cell a=3.965 b=4.122 c=7.322 alpha=106.35 beta=105.71 gamma=90.00
Fractional coordinates of all 7 atoms:
O 0.000 0.500 0.000
O 0.147 0.147 0.295
O 0.853 0.853 0.705
Ti 0.000 0.000 0.000
Ba 0.645 0.645 0.290
Ba 0.355 0.355 0.710
H 0.500 0.000 0.000



Material: PuNpZnIr
Method: DFT, PBE
State: optimized geometry

Calculated values
The value obtained for the energy of formation from the pure elements is -5.02 kcal/mol of atoms. As for the symmetry: F-43m, No. 216.

Unit cell a=4.721 b=4.721 c=4.721 alpha=60.00 beta=60.00 gamma=60.00
Site moments in Bohr magnetons follow the coordinates.
Fractional coordinates of all 4 atoms:
Pu 0.000 0.000 0.000  5.09
Zn 0.750 0.750 0.750  0.00
Ir 0.500 0.500 0.500  -0.28
Np 0.250 0.250 0.250  3.35



Material: AsWCl
Method: DFT, PBE
State: optimized geometry

Calculated values
The calculation puts the excess energy over the best structure of this formula in the dataset at 461 meV/atom. As for the symmetry: F-43m, No. 216.

Unit cell a=4.394 b=4.394 c=4.394 alpha=60.00 beta=60.00 gamma=60.00
Site moments in Bohr magnetons follow the coordinates.
Fractional coordinates of all 3 atoms:
As 0.000 0.000 0.000  -0.08
W 0.750 0.750 0.750  1.65
Cl 0.500 0.500 0.500  -0.01



Material: Ho2AlSi2Rh5
Method: DFT, PBE
State: optimized geometry

Calculated values
As for the symmetry: P4/mbm, No. 127. The calculation puts the energy at -141.2 eV for the cell shown.

Unit cell a=3.444 b=9.702 c=9.702 alpha=90.00 beta=90.00 gamma=90.00
Fractional coordinates of all 20 atoms:
Rh 0.500 0.932 0.210
Rh 0.500 0.568 0.710
Rh 0.500 0.210 0.068
Rh 0.500 0.068 0.790
Rh 0.500 0.000 0.500
Rh 0.500 0.710 0.432
Rh 0.500 0.290 0.568
Rh 0.500 0.432 0.290
Rh 0.500 0.790 0.932
Rh 0.500 0.500 0.000
Al 0.000 0.000 0.000
Al 0.000 0.500 0.500
Si 0.000 0.376 0.124
Si 0.000 0.876 0.376
Si 0.000 0.124 0.624
Si 0.000 0.624 0.876
Ho 0.000 0.675 0.175
Ho 0.000 0.175 0.325
Ho 0.000 0.325 0.825
Ho 0.000 0.825 0.675



Material: Cd4IrF2
Method: DFT, PBE
State: optimized geometry

Calculated values
As for the symmetry: I4/mmm, No. 139. The calculation puts the energy at -19.8 eV for the cell shown.

Unit cell a=5.254 b=5.254 c=7.159 alpha=68.47 beta=68.47 gamma=90.00
Fractional coordinates of all 7 atoms:
Cd 0.500 0.000 0.000
Cd 0.788 0.788 0.425
Cd 0.212 0.212 0.575
Cd 0.000 0.500 0.000
F 0.385 0.385 0.229
F 0.615 0.615 0.771
Ir 0.000 0.000 0.000



Material: Sc2VAgH
Method: DFT, PBE
State: optimized geometry

Calculated values
As for the symmetry: P4/mmm, No. 123. The calculation puts the energy at -28.5 eV for the cell shown.

Unit cell a=4.679 b=4.679 c=3.613 alpha=90.00 beta=90.00 gamma=90.00
Site moments in Bohr magnetons follow the coordinates.
Fractional coordinates of all 5 atoms:
Sc 0.500 0.000 0.000  0.08
Sc 0.000 0.500 0.000  0.08
H 0.000 0.000 0.000  -0.01
Ag 0.500 0.500 0.500  0.02
V 0.000 0.000 0.500  1.80



Material: TaBe2Zn
Method: DFT, PBE
State: optimized geometry

Calculated values
The value obtained for the energy of formation from the pure elements is 3.27 kcal/mol of atoms. As for the symmetry: P2/m, No. 10.

Unit cell a=3.809 b=2.761 c=5.038 alpha=88.55 beta=90.00 gamma=90.00
Fractional coordinates of all 4 atoms:
Be 0.000 0.735 0.470
Be 0.000 0.765 0.030
Ta 0.500 0.250 0.250
Zn 0.500 0.750 0.750



Material: AcPd2Pt
Method: DFT, PBE
State: optimized geometry

Calculated values
The value obtained for the energy of formation from the pure elements is -14.05 kcal/mol of atoms. The calculation puts the excess energy over the best structure of this formula in the dataset at 128 meV/atom. As for the symmetry: Fm-3m, No. 225.

Unit cell a=4.878 b=4.878 c=4.878 alpha=60.00 beta=60.00 gamma=60.00
Fractional coordinates of all 4 atoms:
Ac 0.000 0.000 0.000
Pd 0.750 0.750 0.750
Pd 0.250 0.250 0.250
Pt 0.500 0.500 0.500



Material: Cd6Hg2Rh
Method: DFT, PBE
State: optimized geometry

Calculated values
The value obtained for the energy of formation from the pure elements is 0.01 kcal/mol of atoms. The calculation puts the excess energy over the best structure of this formula in the dataset at 32 meV/atom. As for the symmetry: P-1, No. 2.

Unit cell a=4.190 b=8.795 c=14.348 alpha=157.71 beta=91.03 gamma=94.16
Fractional coordinates of all 9 atoms:
Cd 0.459 0.303 0.750
Cd 0.367 0.873 0.687
Cd 0.090 0.934 0.063
Cd 0.541 0.697 0.250
Cd 0.633 0.127 0.313
Cd 0.910 0.066 0.937
Hg 0.811 0.649 0.416
Hg 0.189 0.351 0.584
Rh 0.000 0.500 0.000